1.
## KVInOs2 (GGA-PBE)

Data for a relaxed KVInOs2 crystal.

a b c (Å): 4.594 4.594 5.299
angles (deg): 90.00 90.00 90.00
Positions (direct):
K: 0.000 0.000 0.000
V: 0.500 0.500 0.500
In: 0.500 0.500 0.000
Os: 0.000 0.500 0.500
Os: 0.500 0.000 0.500

Results
Formation enthalpy at 0 K   6.02 eV per formula unit
Uncorrected energy   -29.40 eV per formula unit

=====

2.
## MgNbIO2 (GGA-PBE)

Data for a relaxed MgNbIO2 crystal.

a b c (Å): 4.067 4.067 5.980
angles (deg): 90.00 90.00 90.00
Positions (direct):
Mg: 0.000 0.000 0.000
Nb: 0.500 0.500 0.500
I: 0.500 0.500 0.000
O: 0.000 0.500 0.500
O: 0.500 0.000 0.500

Results
Excess energy over the best structure of this formula in the dataset   0.000 eV per atom
Uncorrected energy   -28.86 eV per formula unit
Formation energy without anion corrections   -1.15 eV/atom

=====

3.
## Ca2CdTc (GGA-PBE)

Data for a relaxed Ca2CdTc crystal.

a b c (Å): 3.606 3.606 8.165
angles (deg): 90.00 90.00 90.00
Positions (direct):
Ca: 0.000 0.000 0.000
Ca: 0.500 0.500 0.382
Cd: 0.000 0.000 0.623
Tc: 0.500 0.500 0.774

Results
Formation enthalpy at 0 K   1.39 eV per formula unit
Uncorrected energy   -13.90 eV per formula unit

=====

4.
## PuIrPb2O6 (GGA-PBE)

Data for a relaxed PuIrPb2O6 crystal.

a b c (Å): 6.274 6.274 4.965
angles (deg): 104.90 104.90 55.05
Positions (direct):
Pu: 0.000 0.000 0.000
Ir: 0.500 0.500 0.500
Pb: 0.280 0.280 0.788
Pb: 0.720 0.720 0.212
O: 0.163 0.163 0.277
O: 0.183 0.651 0.218
O: 0.349 0.817 0.782
O: 0.651 0.183 0.218
O: 0.817 0.349 0.782
O: 0.837 0.837 0.723

Results
Uncorrected energy   -75.49 eV per formula unit
Formation energy without anion corrections   -1.51 eV/atom

=====

5.
## ZrFe2Pd7 (GGA-PBE)

Data for a relaxed ZrFe2Pd7 crystal.

a b c (Å): 7.248 7.248 4.216
angles (deg): 90.00 90.00 119.97
Positions (direct):
Zr: 0.000 0.000 0.000
Fe: 0.305 0.695 0.500
Fe: 0.695 0.305 0.500
Pd: 0.072 0.301 0.500
Pd: 0.214 0.786 0.000
Pd: 0.301 0.072 0.500
Pd: 0.500 0.500 0.500
Pd: 0.699 0.928 0.500
Pd: 0.786 0.214 0.000
Pd: 0.928 0.699 0.500

Results
Formation enthalpy at 0 K   1.86 eV per formula unit
Uncorrected energy   -59.96 eV per formula unit

=====

6.
## LaAs2Os (GGA-PBE)

Data for a relaxed LaAs2Os crystal.

a b c (Å): 4.655 4.494 4.664
angles (deg): 90.00 100.44 90.00
Positions (direct):
La: 0.000 0.000 0.000
As: 0.417 0.000 0.564
As: 0.604 0.500 0.256
Os: 0.401 0.500 0.759

Results
Formation enthalpy at 0 K   -1.29 eV per formula unit
Excess energy over the best structure of this formula in the dataset   0.340 eV per atom
Uncorrected energy   -26.75 eV per formula unit

=====

7.
## RbSn2BiSb (GGA-PBE)

Data for a relaxed RbSn2BiSb crystal.

a b c (Å): 8.315 4.542 11.342
angles (deg): 90.00 107.08 90.00
Positions (direct):
Rb: 0.244 0.250 0.198
Rb: 0.756 0.750 0.802
Sn: 0.093 0.750 0.633
Sn: 0.420 0.250 0.854
Sn: 0.580 0.750 0.146
Sn: 0.907 0.250 0.367
Bi: 0.282 0.250 0.556
Bi: 0.718 0.750 0.444
Sb: 0.238 0.750 0.920
Sb: 0.762 0.250 0.080

Results
Uncorrected energy   -17.74 eV per formula unit
Formation energy without anion corrections   -0.15 eV/atom

=====

8.
## Cs3Ti2Te4 (GGA-PBE)

Data for a relaxed Cs3Ti2Te4 crystal.

a b c (Å): 10.194 10.194 8.181
angles (deg): 96.47 96.47 73.02
Positions (direct):
Cs: 0.092 0.908 0.750
Cs: 0.238 0.510 0.443
Cs: 0.490 0.762 0.057
Cs: 0.510 0.238 0.943
Cs: 0.762 0.490 0.557
Cs: 0.908 0.092 0.250
Ti: 0.088 0.344 0.946
Ti: 0.344 0.088 0.446
Ti: 0.656 0.912 0.554
Ti: 0.912 0.656 0.054
Te: 0.135 0.236 0.631
Te: 0.180 0.573 0.980
Te: 0.236 0.135 0.131
Te: 0.427 0.820 0.520
Te: 0.573 0.180 0.480
Te: 0.764 0.865 0.869
Te: 0.820 0.427 0.020
Te: 0.865 0.764 0.369

Results
Uncorrected energy   -38.48 eV per formula unit
Formation energy without anion corrections   -0.84 eV/atom

=====

9.
## LiCdCuSe2 (GGA-PBE)

Data for a relaxed LiCdCuSe2 crystal.

a b c (Å): 5.259 5.259 4.797
angles (deg): 90.00 90.00 90.00
Positions (direct):
Li: 0.000 0.000 0.000
Cd: 0.000 0.000 0.500
Cu: 0.500 0.500 0.000
Se: 0.000 0.500 0.500
Se: 0.500 0.000 0.500

Results
Uncorrected energy   -11.44 eV per formula unit
Formation energy without anion corrections   0.49 eV/atom

=====

10.
## MnAlCu2Te4 (GGA-PBE)

Data for a relaxed MnAlCu2Te4 crystal.

a b c (Å): 6.082 6.082 12.083
angles (deg): 90.00 90.00 90.00
Positions (direct):
Mn: 0.000 0.000 0.000
Mn: 0.500 0.500 0.500
Al: 0.000 0.000 0.500
Al: 0.500 0.500 0.000
Cu: 0.000 0.500 0.250
Cu: 0.000 0.500 0.750
Cu: 0.500 0.000 0.250
Cu: 0.500 0.000 0.750
Te: 0.249 0.249 0.370
Te: 0.249 0.751 0.630
Te: 0.251 0.251 0.870
Te: 0.251 0.749 0.130
Te: 0.749 0.251 0.130
Te: 0.749 0.749 0.870
Te: 0.751 0.249 0.630
Te: 0.751 0.751 0.370

Results
Uncorrected energy   -35.40 eV per formula unit
Formation energy without anion corrections   -0.22 eV/atom

=====

11.
## InHgN2 (GGA-PBE)

Data for a relaxed InHgN2 crystal.

a b c (Å): 3.454 3.454 18.990
angles (deg): 90.00 90.00 120.00
Positions (direct):
In: 0.000 0.000 0.000
In: 0.333 0.667 0.667
In: 0.667 0.333 0.333
Hg: 0.000 0.000 0.500
Hg: 0.333 0.667 0.167
Hg: 0.667 0.333 0.833
N: 0.000 0.000 0.392
N: 0.000 0.000 0.608
N: 0.333 0.667 0.059
N: 0.333 0.667 0.274
N: 0.667 0.333 0.726
N: 0.667 0.333 0.941

Results
Excess energy over the best structure of this formula in the dataset   0.656 eV per atom
Uncorrected energy   -16.62 eV per formula unit
Formation energy without anion corrections   0.77 eV/atom

=====

12.
## Tl2Sb3Pb (GGA-PBE)

Data for a relaxed Tl2Sb3Pb crystal.

a b c (Å): 8.888 8.888 6.150
angles (deg): 90.00 90.00 60.03
Positions (direct):
Tl: 0.007 0.333 0.250
Tl: 0.333 0.007 0.750
Tl: 0.667 0.993 0.250
Tl: 0.993 0.667 0.750
Sb: 0.000 0.000 0.000
Sb: 0.000 0.000 0.500
Sb: 0.341 0.341 0.000
Sb: 0.341 0.341 0.500
Sb: 0.659 0.659 0.000
Sb: 0.659 0.659 0.500
Pb: 0.327 0.673 0.250
Pb: 0.673 0.327 0.750

Results
Uncorrected energy   -20.25 eV per formula unit
Formation energy without anion corrections   0.09 eV/atom

=====

13.
## Pr2Nd5SmMg (GGA-PBE)

Data for a relaxed Pr2Nd5SmMg crystal.

a b c (Å): 10.597 10.597 10.862
angles (deg): 90.00 90.00 149.20
Positions (direct):
Pr: 0.115 0.885 0.540
Pr: 0.115 0.885 0.960
Pr: 0.885 0.115 0.040
Pr: 0.885 0.115 0.460
Nd: 0.014 0.986 0.250
Nd: 0.288 0.712 0.553
Nd: 0.288 0.712 0.947
Nd: 0.380 0.620 0.250
Nd: 0.500 0.500 0.000
Nd: 0.500 0.500 0.500
Nd: 0.620 0.380 0.750
Nd: 0.712 0.288 0.053
Nd: 0.712 0.288 0.447
Nd: 0.986 0.014 0.750
Sm: 0.199 0.801 0.250
Sm: 0.801 0.199 0.750
Mg: 0.405 0.595 0.750
Mg: 0.595 0.405 0.250

Results
Formation enthalpy at 0 K   0.74 eV per formula unit
Uncorrected energy   -38.97 eV per formula unit

=====

14.
## NdAlGeO5 (GGA-PBE)

Data for a relaxed NdAlGeO5 crystal.

a b c (Å): 5.575 5.575 6.916
angles (deg): 102.62 102.62 106.35
Positions (direct):
Nd: 0.175 0.825 0.750
Nd: 0.825 0.175 0.250
Al: 0.500 0.500 0.000
Al: 0.500 0.500 0.500
Ge: 0.182 0.818 0.250
Ge: 0.818 0.182 0.750
O: 0.124 0.248 0.933
O: 0.190 0.597 0.399
O: 0.248 0.124 0.433
O: 0.403 0.810 0.101
O: 0.433 0.567 0.750
O: 0.567 0.433 0.250
O: 0.597 0.190 0.899
O: 0.752 0.876 0.567
O: 0.810 0.403 0.601
O: 0.876 0.752 0.067

Results
Uncorrected energy   -59.19 eV per formula unit
Formation energy without anion corrections   -2.66 eV/atom

=====

15.
## LiScPb (GGA-PBE)

Data for a relaxed LiScPb crystal.

a b c (Å): 6.784 6.784 6.784
angles (deg): 90.00 90.00 90.00
Positions (direct):
Li: 0.000 0.000 0.000
Li: 0.000 0.500 0.500
Li: 0.500 0.000 0.500
Li: 0.500 0.500 0.000
Sc: 0.000 0.000 0.500
Sc: 0.000 0.500 0.000
Sc: 0.500 0.000 0.000
Sc: 0.500 0.500 0.500
Pb: 0.250 0.250 0.750
Pb: 0.250 0.750 0.250
Pb: 0.750 0.250 0.250
Pb: 0.750 0.750 0.750

Results
Formation enthalpy at 0 K   -0.74 eV per formula unit
Uncorrected energy   -12.70 eV per formula unit

=====

16.
## HfIrBr2 (GGA-PBE)

Data for a relaxed HfIrBr2 crystal.

a b c (Å): 3.261 3.261 26.529
angles (deg): 90.00 90.00 120.00
Positions (direct):
Hf: 0.000 0.000 0.000
Hf: 0.333 0.667 0.667
Hf: 0.667 0.333 0.333
Ir: 0.000 0.000 0.500
Ir: 0.333 0.667 0.167
Ir: 0.667 0.333 0.833
Br: 0.000 0.000 0.408
Br: 0.000 0.000 0.592
Br: 0.333 0.667 0.074
Br: 0.333 0.667 0.259
Br: 0.667 0.333 0.741
Br: 0.667 0.333 0.926

Results
Excess energy over the best structure of this formula in the dataset   0.000 eV per atom
Uncorrected energy   -21.66 eV per formula unit
Formation energy without anion corrections   0.13 eV/atom

=====

17.
## Mg2ZnGa5 (GGA-PBE)

Data for a relaxed Mg2ZnGa5 crystal.

a b c (Å): 4.314 4.314 15.917
angles (deg): 90.00 90.00 90.00
Positions (direct):
Mg: 0.000 0.000 0.250
Mg: 0.000 0.000 0.750
Mg: 0.500 0.500 0.250
Mg: 0.500 0.500 0.750
Zn: 0.000 0.000 0.000
Zn: 0.500 0.500 0.500
Ga: 0.000 0.000 0.500
Ga: 0.000 0.500 0.120
Ga: 0.000 0.500 0.380
Ga: 0.000 0.500 0.620
Ga: 0.000 0.500 0.880
Ga: 0.500 0.000 0.120
Ga: 0.500 0.000 0.380
Ga: 0.500 0.000 0.620
Ga: 0.500 0.000 0.880
Ga: 0.500 0.500 0.000

Results
Formation enthalpy at 0 K   -0.31 eV per formula unit
Excess energy over the best structure of this formula in the dataset   0.049 eV per atom
Uncorrected energy   -19.91 eV per formula unit

=====

18.
## AlH3O3 (GGA-PBE)

Data for a relaxed AlH3O3 crystal.

a b c (Å): 5.043 5.049 5.340
angles (deg): 104.81 100.95 118.08
Positions (direct):
Al: 0.174 0.334 0.001
Al: 0.826 0.666 0.999
H: 0.104 0.629 0.412
H: 0.332 0.213 0.583
H: 0.409 0.066 0.202
H: 0.591 0.934 0.798
H: 0.668 0.787 0.417
H: 0.896 0.371 0.588
O: 0.030 0.522 0.781
O: 0.230 0.092 0.211
O: 0.412 0.267 0.785
O: 0.588 0.733 0.215
O: 0.770 0.908 0.789
O: 0.970 0.478 0.219

Results
Excess energy over the best structure of this formula in the dataset   0.010 eV per atom
Uncorrected energy   -40.91 eV per formula unit

=====

19.
## La2CuPd2 (GGA-PBE)

Data for a relaxed La2CuPd2 crystal.

a b c (Å): 5.646 5.646 7.880
angles (deg): 90.00 90.00 90.00
Positions (direct):
La: 0.000 0.500 0.250
La: 0.000 0.500 0.750
La: 0.500 0.000 0.250
La: 0.500 0.000 0.750
Cu: 0.000 0.000 0.000
Cu: 0.500 0.500 0.500
Pd: 0.000 0.000 0.331
Pd: 0.000 0.000 0.669
Pd: 0.500 0.500 0.169
Pd: 0.500 0.500 0.831

Results
Formation enthalpy at 0 K   -2.45 eV per formula unit
Excess energy over the best structure of this formula in the dataset   0.154 eV per atom
Uncorrected energy   -26.79 eV per formula unit

=====

20.
## Zr2NpTl3Te6 (GGA-PBE)

Data for a relaxed Zr2NpTl3Te6 crystal.

a b c (Å): 7.334 7.334 8.738
angles (deg): 98.07 98.07 120.18
Positions (direct):
Zr: 0.170 0.830 0.000
Zr: 0.830 0.170 0.000
Np: 0.500 0.500 0.000
Tl: 0.000 0.000 0.500
Tl: 0.341 0.659 0.500
Tl: 0.659 0.341 0.500
Te: 0.082 0.428 0.787
Te: 0.220 0.220 0.206
Te: 0.428 0.082 0.787
Te: 0.572 0.918 0.213
Te: 0.780 0.780 0.794
Te: 0.918 0.572 0.213

Results
Uncorrected energy   -63.29 eV per formula unit
Formation energy without anion corrections   -0.61 eV/atom

=====

21.
## Rb2IO3 (GGA-PBE)

Data for a relaxed Rb2IO3 crystal.

a b c (Å): 9.796 8.131 7.760
angles (deg): 76.08 53.67 50.25
Positions (direct):
Rb: 0.230 0.770 0.770
Rb: 0.250 0.250 0.250
Rb: 0.750 0.750 0.750
Rb: 0.770 0.230 0.230
I: 0.238 0.238 0.762
I: 0.762 0.762 0.238
O: 0.039 0.280 0.720
O: 0.280 0.039 0.961
O: 0.375 0.375 0.625
O: 0.625 0.625 0.375
O: 0.720 0.961 0.039
O: 0.961 0.720 0.280

Results
Uncorrected energy   -23.39 eV per formula unit
Formation energy without anion corrections   -0.84 eV/atom

=====

22.
## BeTlCd (GGA-PBE)

Data for a relaxed BeTlCd crystal.

a b c (Å): 3.378 3.378 6.240
angles (deg): 90.00 90.00 120.00
Positions (direct):
Be: 0.000 0.000 0.000
Tl: 0.667 0.333 0.688
Cd: 0.333 0.667 0.275

Results
Formation enthalpy at 0 K   1.47 eV per formula unit
Excess energy over the best structure of this formula in the dataset   0.088 eV per atom
Uncorrected energy   -5.54 eV per formula unit

=====

23.
## YSc2B (GGA-PBE)

Data for a relaxed YSc2B crystal.

a b c (Å): 3.423 3.423 28.219
angles (deg): 90.00 90.00 120.00
Positions (direct):
Y: 0.000 0.000 0.000
Y: 0.333 0.667 0.667
Y: 0.667 0.333 0.333
Sc: 0.000 0.000 0.120
Sc: 0.000 0.000 0.880
Sc: 0.333 0.667 0.547
Sc: 0.333 0.667 0.787
Sc: 0.667 0.333 0.213
Sc: 0.667 0.333 0.453
B: 0.000 0.000 0.500
B: 0.333 0.667 0.167
B: 0.667 0.333 0.833

Results
Formation enthalpy at 0 K   0.46 eV per formula unit
Uncorrected energy   -25.35 eV per formula unit

=====

24.
## BaTl4Bi (GGA-PBE)

Data for a relaxed BaTl4Bi crystal.

a b c (Å): 10.480 10.480 10.480
angles (deg): 60.00 60.00 60.00
Positions (direct):
Ba: 0.000 0.000 0.000
Tl: 0.133 0.133 0.133
Tl: 0.133 0.133 0.600
Tl: 0.133 0.600 0.133
Tl: 0.600 0.133 0.133
Bi: 0.250 0.250 0.250

Results
Formation enthalpy at 0 K   3.57 eV per formula unit
Excess energy over the best structure of this formula in the dataset   0.823 eV per atom
Uncorrected energy   -11.70 eV per formula unit